No. 1
This record from Alexandria describes ScBr3 after structural relaxation. The functional is GGA-PBE.

a = 3.855 Å, b = 5.323 Å, c = 13.232 Å
α = 90.00°, β = 90.00°, γ = 90.00°
Atoms (fractional coordinates):
1 Sc 0.000 0.000 0.000
2 Sc 0.500 0.500 0.500
3 Br 0.500 0.000 0.500
4 Br 0.000 0.500 0.000
5 Br 0.500 0.000 0.860
6 Br 0.500 0.000 0.140
7 Br 0.000 0.500 0.360
8 Br 0.000 0.500 0.640

Summary:
ΔE_f (raw) = -1650 meV/atom
final energy = -4.487 eV/atom



No. 2
This record from Alexandria describes ScBr after structural relaxation. The functional is GGA-PBE.

a = 9.969 Å, b = 3.599 Å, c = 6.239 Å
α = 90.00°, β = 90.36°, γ = 90.00°
Atoms (fractional coordinates):
1 Sc 0.568 0.000 0.080
2 Sc 0.568 0.500 0.580
3 Sc 0.316 0.000 0.745
4 Sc 0.316 0.500 0.245
5 Br 0.135 0.000 0.076
6 Br 0.135 0.500 0.576
7 Br 0.748 0.000 0.415
8 Br 0.748 0.500 0.915

Summary:
ΔE_f (raw) = -1102 meV/atom
final energy = -5.104 eV/atom



No. 3
This record from Alexandria describes ScBr3 after structural relaxation. The functional is GGA-PBE.

a = 4.638 Å, b = 4.638 Å, c = 4.638 Å
α = 90.00°, β = 90.00°, γ = 90.00°
Atoms (fractional coordinates):
1 Br 0.000 0.500 0.500
2 Br 0.500 0.000 0.500
3 Br 0.500 0.500 0.000
4 Sc 0.000 0.000 0.000

Summary:
ΔE_f (raw) = -525 meV/atom
final energy = -3.362 eV/atom



No. 4
This record from Alexandria describes ScSe2Br after structural relaxation. The functional is GGA-PBE.

a = 9.878 Å, b = 9.878 Å, c = 9.878 Å
α = 20.58°, β = 20.58°, γ = 20.58°
Atoms (fractional coordinates):
1 Sc 0.000 0.000 0.000
2 Se 0.913 0.913 0.913
3 Se 0.087 0.087 0.087
4 Br 0.500 0.500 0.500

Summary:
ΔE_f (raw) = 272 meV/atom
relative energy among the computed polymorphs = 1447 meV/atom
final energy = -3.472 eV/atom



No. 5
This record from Alexandria describes ScSeBr2 after structural relaxation. The functional is GGA-PBE.

a = 3.326 Å, b = 3.326 Å, c = 10.407 Å
α = 90.00°, β = 90.00°, γ = 90.14°
Atoms (fractional coordinates):
1 Br 0.000 0.000 0.992
2 Br 0.500 0.500 0.338
3 Sc 0.000 0.000 0.516
4 Se 0.500 0.500 0.654

Summary:
ΔE_f (raw) = -858 meV/atom
relative energy among the computed polymorphs = 344 meV/atom
final energy = -4.148 eV/atom



No. 6
This record from Alexandria describes ScSeBr2 after structural relaxation. The functional is GGA-PBE.

a = 3.267 Å, b = 3.267 Å, c = 9.829 Å
α = 90.00°, β = 90.00°, γ = 90.03°
Atoms (fractional coordinates):
1 Br 0.000 0.000 0.082
2 Br 0.000 0.000 0.418
3 Sc 0.500 0.500 0.250
4 Se 0.500 0.500 0.750

Summary:
ΔE_f (raw) = -740 meV/atom
relative energy among the computed polymorphs = 462 meV/atom
final energy = -4.030 eV/atom



No. 7
This record from Alexandria describes ScSe2Br after structural relaxation. The functional is GGA-PBE.

a = 3.995 Å, b = 3.996 Å, c = 5.477 Å
α = 90.00°, β = 90.00°, γ = 90.00°
Atoms (fractional coordinates):
1 Br 0.500 0.000 0.500
2 Sc 0.000 0.500 0.500
3 Se 0.000 0.000 0.000
4 Se 0.500 0.500 0.000

Summary:
ΔE_f (raw) = -545 meV/atom
relative energy among the computed polymorphs = 630 meV/atom
final energy = -4.289 eV/atom



No. 8
This record from Alexandria describes ScSe2Br after structural relaxation. The functional is GGA-PBE.

a = 5.262 Å, b = 5.262 Å, c = 6.542 Å
α = 80.04°, β = 80.04°, γ = 41.81°
Atoms (fractional coordinates):
1 Br 0.590 0.590 0.421
2 Sc 0.216 0.216 0.140
3 Se 0.919 0.919 0.100
4 Se 0.775 0.775 0.840

Summary:
ΔE_f (raw) = -1175 meV/atom
relative energy among the computed polymorphs = 0 meV/atom
final energy = -4.919 eV/atom



No. 9
This record from Alexandria describes ScSeBr3 after structural relaxation. The functional is GGA-PBE.

a = 5.321 Å, b = 5.321 Å, c = 5.321 Å
α = 90.00°, β = 90.00°, γ = 90.00°
Atoms (fractional coordinates):
1 Sc 0.000 0.000 0.000
2 Se 0.500 0.500 0.500
3 Br 0.000 0.500 0.000
4 Br 0.000 0.000 0.500
5 Br 0.500 0.000 0.000

Summary:
ΔE_f (raw) = -730 meV/atom
relative energy among the computed polymorphs = 0 meV/atom
final energy = -3.697 eV/atom



No. 10
This record from Alexandria describes ScSeBr2 after structural relaxation. The functional is GGA-PBE.

a = 3.694 Å, b = 4.158 Å, c = 8.032 Å
α = 78.21°, β = 90.00°, γ = 90.00°
Atoms (fractional coordinates):
1 Br 0.000 0.096 0.918
2 Br 0.500 0.400 0.333
3 Sc 0.000 0.263 0.593
4 Se 0.500 0.741 0.656

Summary:
ΔE_f (raw) = -1124 meV/atom
relative energy among the computed polymorphs = 78 meV/atom
final energy = -4.414 eV/atom



No. 11
This record from Alexandria describes ScSe2Br after structural relaxation. The functional is GGA-PBE.

a = 4.977 Å, b = 4.977 Å, c = 4.977 Å
α = 60.00°, β = 60.00°, γ = 60.00°
Atoms (fractional coordinates):
1 Sc 0.000 0.000 0.000
2 Se 0.250 0.250 0.250
3 Se 0.750 0.750 0.750
4 Br 0.500 0.500 0.500

Summary:
ΔE_f (raw) = -330 meV/atom
relative energy among the computed polymorphs = 845 meV/atom
final energy = -4.074 eV/atom



No. 12
This record from Alexandria describes ScSeBr2 after structural relaxation. The functional is GGA-PBE.

a = 4.140 Å, b = 4.140 Å, c = 5.990 Å
α = 90.00°, β = 90.00°, γ = 99.11°
Atoms (fractional coordinates):
1 Br 0.000 0.000 0.000
2 Br 0.500 0.500 0.000
3 Sc 0.500 0.000 0.500
4 Se 0.000 0.500 0.500

Summary:
ΔE_f (raw) = -505 meV/atom
relative energy among the computed polymorphs = 697 meV/atom
final energy = -3.796 eV/atom



| no. | density (g cm⁻³) |
| --- | --- |
| 1 | 3.5 |
| 2 | 3.7 |
| 3 | 4.7 |
| 4 | 4.5 |
| 5 | 4.1 |
| 6 | 4.5 |
| 7 | 5.4 |
| 8 | 4.0 |
| 9 | 4.0 |
| 10 | 3.9 |
| 11 | 5.4 |
| 12 | 4.6 |